# 1
# Rb2LiHf3Se8 (PBE, relaxed)
# DOS at the Fermi energy = 4.75 states/eV/f.u.
# formation energy (no corrections) = -1713 kJ/mol of formula units
# E = -0.208 Ha/atom
data_Rb2LiHf3Se8
_chemical_formula_sum 'Rb6 Li3 Hf9 Se24'
_cell_length_a 7.6796
_cell_length_b 7.6796
_cell_length_c 26.1128
_cell_angle_alpha 90.00
_cell_angle_beta 90.00
_cell_angle_gamma 120.00
_symmetry_space_group_name_H-M 'R 3 m'
_symmetry_Int_Tables_number 160
_symmetry_space_group_name_Hall 'R 3 -2"'
loop_
_atom_site_label
_atom_site_type_symbol
_atom_site_fract_x
_atom_site_fract_y
_atom_site_fract_z
_atom_site_occupancy
Rb1 Rb 0.0000 0.0000 0.0000 1
Rb2 Rb 0.0000 0.0000 0.3500 1
Li1 Li 0.0000 0.0000 0.8480 1
Hf1 Hf 0.1694 0.3387 0.1826 1
Se1 Se 0.0000 0.0000 0.1248 1
Se2 Se 0.0000 0.0000 0.5775 1
Se3 Se 0.0086 0.5043 0.1236 1
Se4 Se 0.1727 0.3453 0.9080 1


# 2
# Zn3BRu (PBE, relaxed)
# DOS at the Fermi energy = 4.07 states/eV/f.u.
# DFT formation energy = 0.5916 eV/atom
# ΔE to the lowest computed polymorph = 0 meV/atom
# E = -0.124 Ha/atom
data_Zn3BRu
_chemical_formula_sum 'Zn3 B1 Ru1'
_cell_length_a 4.063
_cell_length_b 4.063
_cell_length_c 4.063
_cell_angle_alpha 90.00
_cell_angle_beta 90.00
_cell_angle_gamma 90.00
_symmetry_space_group_name_H-M 'P m -3 m'
_symmetry_Int_Tables_number 221
_symmetry_space_group_name_Hall '-P 4 2 3'
loop_
_atom_site_label
_atom_site_type_symbol
_atom_site_fract_x
_atom_site_fract_y
_atom_site_fract_z
_atom_site_occupancy
Zn1 Zn 0.000 0.000 0.500 1
B1 B 0.000 0.000 0.000 1
Ru1 Ru 0.500 0.500 0.500 1


# 3
# ThN2Cl4 (PBE, relaxed)
# DOS at the Fermi energy = 0.00 states/eV/f.u.
# formation energy (no corrections) = 0 kJ/mol of formula units
# E = -0.165 Ha/atom
data_ThN2Cl4
_chemical_formula_sum 'Th2 N4 Cl8'
_cell_length_a 13.236
_cell_length_b 4.324
_cell_length_c 11.926
_cell_angle_alpha 90.00
_cell_angle_beta 123.38
_cell_angle_gamma 90.00
_symmetry_space_group_name_H-M 'C 1 2/m 1'
_symmetry_Int_Tables_number 12
_symmetry_space_group_name_Hall '-C 2y'
loop_
_atom_site_label
_atom_site_type_symbol
_atom_site_fract_x
_atom_site_fract_y
_atom_site_fract_z
_atom_site_occupancy
Th1 Th 0.000 0.000 0.000 1
N1 N 0.102 0.500 0.433 1
Cl1 Cl 0.080 0.500 0.920 1
Cl2 Cl 0.203 0.000 0.229 1